No. 1
Below is an optimized crystal structure of Zr2AlN, with properties calculated at the PBE level.

Cell lengths 3.254, 3.254, 7.516 Å; angles 77.50, 77.50, 60.00 degrees
Fractional positions:
Zr: 0.774 0.774 0.677
N: 0.500 0.500 0.500
Al: 0.000 0.000 0.000
Zr: 0.226 0.226 0.323

Values from the calculation:
**Energy relative to the elements, uncorrected**: -4.113 eV per formula unit


No. 2
Below is an optimized crystal structure of Tb3Er6In, with properties calculated at the PBE level.

Cell lengths 5.520, 9.574, 12.623 Å; angles 114.28, 90.00, 90.00 degrees
Fractional positions:
Tb: 0.750 0.379 0.778
Er: 0.750 0.787 0.861
Er: 0.750 0.450 0.296
In: 0.250 0.385 0.417
Tb: 0.250 0.799 0.027
Tb: 0.750 0.201 0.973
Tb: 0.250 0.154 0.629
Er: 0.250 0.550 0.704
Tb: 0.750 0.846 0.371
In: 0.750 0.615 0.583
Er: 0.250 0.024 0.330
Tb: 0.250 0.621 0.222
Er: 0.750 0.976 0.670
Er: 0.250 0.213 0.139
Er: 0.250 0.753 0.513
Er: 0.750 0.608 0.069
Er: 0.250 0.392 0.931
Er: 0.250 0.978 0.827
Er: 0.750 0.247 0.487
Er: 0.750 0.022 0.173


| no. | density of states at the Fermi level (states/eV/f.u.) | final energy (eV per atom) | V (Å³ per cell) |
| --- | --- | --- | --- |
| 1 | 1.4 | -8.319 | 67 |
| 2 | 14.4 | -4.472 | 608 |